Entry 1:
Density functional theory data (PBE-GGA) for a relaxed TiSbC3 crystal.

Cell: 4.148 4.148 4.148 Å, 90.00 90.00 90.00°
Fractional coordinates of all 5 atoms:
Ti: 0.000 0.000 0.000
Sb: 0.500 0.500 0.500
C: 0.000 0.500 0.500
C: 0.500 0.000 0.500
C: 0.500 0.500 0.000


Entry 2:
Density functional theory data (PBE-GGA) for a relaxed Ti5SbC crystal.

Cell: 5.575 5.575 5.575 Å, 131.59 117.70 82.61°
Fractional coordinates of all 7 atoms:
Ti: 0.000 0.000 0.000
Ti: 0.077 0.327 0.750
Ti: 0.422 0.673 0.750
Ti: 0.578 0.327 0.250
Ti: 0.923 0.673 0.250
Sb: 0.500 0.000 0.500
C: 0.000 0.500 0.500


Entry 3:
Density functional theory data (PBE-GGA) for a relaxed Ti7Sb2C2 crystal.

Cell: 5.618 5.618 5.894 Å, 90.00 90.00 101.99°
Fractional coordinates of all 11 atoms:
Ti: 0.000 0.000 0.000
Ti: 0.000 0.500 0.219
Ti: 0.000 0.500 0.781
Ti: 0.500 0.000 0.219
Ti: 0.500 0.000 0.781
Ti: 0.500 0.500 0.209
Ti: 0.500 0.500 0.791
Sb: 0.203 0.203 0.500
Sb: 0.797 0.797 0.500
C: 0.267 0.733 0.000
C: 0.733 0.267 0.000


Calculated calculated volume, 71, 110, 182 Å³/f.u. (same order as the records).
Calculated energy relative to the elements, uncorrected, 2.52, -0.35, -0.21 eV per atom (same order as the records).